[1]
Material: Ac4Hg2Pt
Method: DFT, PBE-GGA
State: relaxed

* energy of formation from the pure elements: -457 meV/atom
* spin magnetization: 0.001 μB per cell
* distance to the lowest polymorph of the same formula: 13.6 kJ/mol of atoms
* calculated volume: 551.8 Å³ per cell

a = 5.8561 Å, b = 5.8561 Å, c = 16.0891 Å
α = 90.00°, β = 90.00°, γ = 90.00°
Last column: nearest neighbours and their distance in Å.
Space group I4/mmm (No. 139)
One atom of each set of equivalent atoms:
1 Ac 0.0000 0.0000 0.1900 x4  1 Pt 3.06, 1 Hg 3.20
2 Ac 0.0000 0.5000 0.0000 x4  2 Pt 2.93
3 Hg 0.0000 0.0000 0.3887 x4  5 Ac 3.20-3.43, 1 Hg 3.58
4 Pt 0.0000 0.0000 0.0000 x2  6 Ac 2.93-3.06

=====

[2]
Material: Ac2HgPtRh
Method: DFT, PBE-GGA
State: relaxed

* energy of formation from the pure elements: -695 meV/atom
* spin magnetization: 0.000 μB per cell
* calculated volume: 565.2 Å³ per cell

a = 8.6470 Å, b = 13.8258 Å, c = 4.7276 Å
α = 90.00°, β = 90.00°, γ = 90.00°
Last column: nearest neighbours and their distance in Å.
Space group Cmcm (No. 63)
One atom of each set of equivalent atoms:
1 Ac 0.2198 0.1275 0.2500 x8  1 Rh 2.95, 3 Pt 3.18-3.21
2 Hg 0.0000 0.3653 0.2500 x4  2 Rh 2.85
3 Pt 0.0000 0.0594 0.7500 x4  1 Rh 2.65, 2 Pt 2.88
4 Rh 0.0000 0.2507 0.7500 x4  1 Pt 2.65, 2 Hg 2.85, 2 Ac 2.95

=====

[3]
Material: Ac8Hg4Pt3Rh
Method: DFT, PBE-GGA
State: relaxed

* energy of formation from the pure elements: -774 meV/atom
* spin magnetization: 0.000 μB per cell
* calculated volume: 1630.2 Å³ per cell

a = 8.7352 Å, b = 8.7352 Å, c = 24.6707 Å
α = 90.00°, β = 90.00°, γ = 120.00°
Last column: nearest neighbours and their distance in Å.
Space group R-3m (No. 166, hexagonal axes)
One atom of each set of equivalent atoms:
1 Ac 0.0000 0.0000 0.2361 x6  3 Pt 3.05
2 Ac 0.0057 0.5029 0.2356 x18  1 Rh 3.00, 2 Pt 3.06
3 Hg 0.0000 0.0000 0.0000 x3  6 Ac 3.52
4 Hg 0.0000 0.5000 0.0000 x9  6 Ac 3.47-3.48
5 Pt 0.0000 0.5000 0.5000 x9  6 Ac 3.05-3.06
6 Rh 0.0000 0.0000 0.5000 x3  6 Ac 3.00

=====

> What is the energy of formation from the pure elements in the second record?

-695 meV/atom